Entry 1:
MoAuBr2 | PBE | optimized geometry

The structure belongs to space group C2/m (No. 12); the cell edges are 6.855, 8.775 and 4.387 Å and the angles 90.00°, 127.80° and 90.00°. Symmetry generates all atoms from Mo at (0.000, 0.000, 0.000), Au at (0.000, 0.500, 0.000) and Br at (0.250, 0.250, 0.000).

The calculation puts the mass density at 7.212 g/cm3. For the magnetization, the calculation gives 4.26 μB per formula unit. Its volume is 26.06 A^3/atom. As for the uncorrected formation energy: 0.66 eV/atom. As for the offset from the most stable computed form: 578 meV per atom. Its density of states at the Fermi level is 0.252 states/eV/atom.

=====

Entry 2:
K2Sm2SnO6 | PBE | optimized geometry

The structure belongs to space group C2/m (No. 12); the cell edges are 6.027, 10.352 and 6.665 Å and the angles 90.00°, 105.86° and 90.00°. Symmetry generates all atoms from K at (0.000, 0.161, 0.000), Sm at (0.000, 0.335, 0.500), Sn at (0.000, 0.000, 0.500), O at (0.204, 0.157, 0.674) and O at (0.244, 0.000, 0.324).

The calculation puts the mass density at 4.928 g/cm3. For the magnetization, the calculation gives 0.00 μB per formula unit. Its volume is 18.18 A^3/atom. As for the uncorrected formation energy: -2.38 eV/atom. Its density of states at the Fermi level is 0.000 states/eV/atom.

=====

Entry 3:
Er2Zn16Co | PBE | optimized geometry

The structure belongs to space group R3m (No. 160, hexagonal axes); the cell edges are 8.9025, 8.9025 and 13.0536 Å and the angles 90.00°, 90.00° and 120.00°. Symmetry generates all atoms from Er at (0.0000, 0.0000, 0.0000), Er at (0.0000, 0.0000, 0.3367), Zn at (0.0000, 0.0000, 0.5768), Zn at (0.0002, 0.2901, 0.6755), Zn at (0.0125, 0.5063, 0.8237), Zn at (0.1680, 0.3360, 0.8577), Zn at (0.1726, 0.3452, 0.5081) and Co at (0.0000, 0.0000, 0.7735).

The calculation puts the mass density at 8.006 g/cm3. For the magnetization, the calculation gives 0.83 μB per formula unit. The formation energy comes out at -193 meV per atom. Its volume is 15.72 A^3/atom. Its density of states at the Fermi level is 0.410 states/eV/atom.

=====

Entry 4:
Ac2NiPt3 | PBE | optimized geometry

The structure belongs to space group Fmmm (No. 69); the cell edges are 8.398, 8.874 and 15.422 Å and the angles 90.00°, 90.00° and 90.00°. Symmetry generates all atoms from Ac at (0.248, 0.000, 0.000), Ac at (0.250, 0.250, 0.250), Ni at (0.000, 0.000, 0.333), Pt at (0.000, 0.000, 0.173) and Pt at (0.000, 0.239, 0.413).

The calculation puts the mass density at 12.691 g/cm3. For the magnetization, the calculation gives 0.58 μB per formula unit. The formation energy comes out at -898 meV per atom. Its volume is 23.94 A^3/atom. Its density of states at the Fermi level is 0.982 states/eV/atom.

=====

Entry 5:
Tb3Nd6Y2In | PBE | optimized geometry

The structure belongs to space group C2/m (No. 12); the cell edges are 6.213, 10.797 and 11.864 Å and the angles 90.00°, 100.24° and 90.00°. Symmetry generates all atoms from Tb at (0.000, 0.000, 0.000), Tb at (0.000, 0.332, 0.000), Nd at (0.244, 0.500, 0.251), Nd at (0.245, 0.337, 0.748), Y at (0.000, 0.166, 0.500) and In at (0.000, 0.500, 0.500).

The calculation puts the mass density at 6.933 g/cm3. For the magnetization, the calculation gives 0.00 μB per formula unit. The formation energy comes out at -37 meV per atom. Its volume is 32.63 A^3/atom. Its density of states at the Fermi level is 1.219 states/eV/atom.

=====

Entry 6:
ScBiH2 | PBE | optimized geometry

The structure belongs to space group I-42d (No. 122); the cell edges are 4.515, 4.515 and 11.840 Å and the angles 90.00°, 90.00° and 90.00°. Symmetry generates all atoms from Sc at (0.000, 0.000, 0.000), Bi at (0.000, 0.000, 0.500) and H at (0.055, 0.250, 0.125).

The calculation puts the mass density at 7.043 g/cm3. For the magnetization, the calculation gives 0.00 μB per formula unit. Its volume is 15.09 A^3/atom. As for the offset from the most stable computed form: 292 meV per atom. Its density of states at the Fermi level is 0.115 states/eV/atom.

=====

Entry 7:
K2TcSe | PBE | optimized geometry

The structure belongs to space group I-42d (No. 122); the cell edges are 12.339, 12.339 and 4.727 Å and the angles 90.00°, 90.00° and 90.00°. Symmetry generates all atoms from K at (0.064, 0.250, 0.125), Tc at (0.000, 0.000, 0.500) and Se at (0.000, 0.000, 0.000).

The calculation puts the mass density at 2.355 g/cm3. For the magnetization, the calculation gives 2.29 μB per formula unit. Its volume is 44.97 A^3/atom. As for the uncorrected formation energy: 0.26 eV/atom. Its density of states at the Fermi level is 1.182 states/eV/atom.